No. 1
An optimized crystal structure of Li6Mn5Ni3O16, computed with GGA+U.

Lattice parameters (Å, degrees): 5.839 5.839 9.449 88.73 88.73 59.33
Sites, in units of the cell vectors:
Li (0.830, 0.830, 0.452)
Li (0.354, 0.835, 0.452)
Li (0.835, 0.354, 0.452)
Li (0.172, 0.659, 0.941)
Li (0.659, 0.172, 0.941)
Li (0.152, 0.152, 0.940)
Mn (0.826, 0.826, 0.715)
Mn (0.659, 0.659, 0.984)
Mn (0.171, 0.667, 0.215)
Mn (0.667, 0.171, 0.215)
Mn (0.330, 0.330, 0.489)
Ni (0.333, 0.830, 0.711)
Ni (0.830, 0.333, 0.711)
Ni (0.171, 0.171, 0.213)
O (0.840, 0.840, 0.104)
O (0.525, 0.964, 0.852)
O (0.325, 0.831, 0.092)
O (0.675, 0.675, 0.597)
O (0.964, 0.525, 0.852)
O (0.520, 0.520, 0.857)
O (0.154, 0.663, 0.594)
O (0.831, 0.325, 0.092)
O (0.487, 0.487, 0.339)
O (0.663, 0.154, 0.594)
O (0.347, 0.347, 0.105)
O (0.041, 0.497, 0.346)
O (0.497, 0.041, 0.346)
O (0.163, 0.163, 0.578)
O (0.994, 0.994, 0.321)
O (0.986, 0.986, 0.821)

- crystal system = monoclinic
- total magnetization (μB per cell) = 21.000
- space-group type = Cm, No. 8
- total energy (eV per atom) = -6.06

***

No. 2
An optimized crystal structure of AlCoO2, computed with GGA+U.

Lattice parameters (Å, degrees): 4.581 4.581 5.379 64.80 64.80 90.00
Sites, in units of the cell vectors:
Co (0.000, 0.000, 0.000)
Co (0.750, 0.250, 0.500)
Al (0.500, 0.500, 0.000)
Al (0.250, 0.750, 0.500)
O (0.566, 0.125, 0.250)
O (0.184, 0.625, 0.250)
O (0.375, 0.434, 0.750)
O (0.875, 0.816, 0.750)

- crystal system = tetragonal
- total magnetization (μB per cell) = 4.291
- space-group type = I-42d, No. 122
- total energy (eV per atom) = -6.45